Compound: Ba2LiCoF6
Source: Alexandria
Functional: GGA+U
Structure: relaxed

Cell and atoms, written as POSCAR:
```
Ba2LiCoF6
1.0
2.920 1.686 9.595
-2.920 1.686 9.595
0.000 -3.372 9.595
Ba Li Co F
4 2 2 12
Cartesian
0.000 0.000 3.637
0.000 0.000 8.336
0.000 0.000 20.450
0.000 0.000 25.148
0.000 0.000 11.893
0.000 0.000 16.892
0.000 0.000 0.000
0.000 0.000 14.393
-1.523 -0.879 13.142
0.000 -1.631 10.874
-1.413 0.816 10.874
-1.413 -0.816 17.912
0.000 -1.758 15.643
-1.523 0.879 15.643
1.523 -0.879 13.142
0.000 1.758 13.142
1.413 0.816 10.874
1.413 -0.816 17.912
0.000 1.631 17.912
1.523 0.879 15.643
```

Output
The value obtained for the raw total energy is -5.244 eV per atom. The value obtained for the volume is 14.171 Å³/atom.